# CaPbSe2

An optimized crystal structure of CaPbSe2 (GGA-PBEsol, the Alexandria database).

Cell lengths 4.2416, 4.2416, 6.0043 Å; angles 90.00, 90.00, 90.00 degrees
Last column: nearest neighbours and their distance in Å.
Atoms (fractional coordinates):
Se: 0.6242 0.6242 0.5000  4 Pb 3.00, 2 Ca 3.00
Ca: 0.6241 0.6241 0.0000  6 Se 3.00
Se: 0.1240 0.1240 0.0000  4 Ca 3.00, 2 Pb 3.00
Pb: 0.1245 0.1245 0.5000  6 Se 3.00

raw formation energy = -5.11 eV/f.u.

# Ti2FeAgW

An optimized crystal structure of Ti2FeAgW (GGA-PBEsol, the Alexandria database).

Cell lengths 4.3900, 4.3900, 4.4492 Å; angles 90.00, 90.00, 90.00 degrees
Last column: nearest neighbours and their distance in Å.
Atoms (fractional coordinates):
Fe: 0.0000 0.0000 0.0000  4 Ti 2.20, 2 W 2.22
Ti: 0.0000 0.5000 0.0000  2 Fe 2.20
W: 0.0000 0.0000 0.5000  2 Fe 2.22
Ti: 0.5000 0.0000 0.0000  2 Fe 2.20
Ag: 0.5000 0.5000 0.5000  4 W 3.10, 8 Ti 3.13

formation energy = 0.6491 eV/atom

# TiTlIN2

An optimized crystal structure of TiTlIN2 (GGA-PBEsol, the Alexandria database).

Cell lengths 4.1010, 4.1010, 5.6341 Å; angles 90.00, 90.00, 90.00 degrees
Last column: nearest neighbours and their distance in Å.
Atoms (fractional coordinates):
N: 0.5000 0.0000 0.0000  2 Ti 2.05
I: 0.0000 0.0000 0.5000  2 Ti 2.82, 4 Tl 2.90
N: 0.0000 0.5000 0.0000  2 Ti 2.05
Ti: 0.0000 0.0000 0.0000  4 N 2.05
Tl: 0.5000 0.5000 0.5000  4 I 2.90

raw formation energy = 1.71 eV/f.u.

# BaTlSi

An optimized crystal structure of BaTlSi (GGA-PBEsol, the Alexandria database).

Cell lengths 4.5513, 4.5513, 5.0563 Å; angles 90.00, 90.00, 120.00 degrees
Last column: nearest neighbours and their distance in Å.
Atoms (fractional coordinates):
Tl: 0.6667 0.3333 0.4424  3 Si 2.70
Si: 0.3333 0.6667 0.5673  3 Tl 2.70
Ba: 0.0000 0.0000 0.9902  3 Si 3.39, 3 Tl 3.48

raw formation energy = -0.85 eV/f.u.

# CdSi2W

An optimized crystal structure of CdSi2W (GGA-PBEsol, the Alexandria database).

Cell lengths 3.0264, 3.0264, 8.4594 Å; angles 79.70, 79.70, 60.00 degrees
Last column: nearest neighbours and their distance in Å.
Atoms (fractional coordinates):
W: 0.5000 0.5000 0.5000  6 Si 2.53
Cd: 0.0000 0.0000 0.0000  6 Si 2.89, 6 Cd 3.03
Si: 0.2404 0.2404 0.2788  3 W 2.53
Si: 0.7596 0.7596 0.7212  3 W 2.53

raw formation energy = 0.72 eV/f.u.

# RbAg2Pt2

An optimized crystal structure of RbAg2Pt2 (GGA-PBEsol, the Alexandria database).

Cell lengths 4.0079, 4.0079, 7.0628 Å; angles 106.48, 106.48, 90.00 degrees
Last column: nearest neighbours and their distance in Å.
Atoms (fractional coordinates):
Pt: 0.7500 0.2500 0.5000  4 Ag 2.71, 4 Pt 2.83
Pt: 0.2500 0.7500 0.5000  4 Ag 2.71, 4 Pt 2.83
Ag: 0.3914 0.3914 0.7829  4 Pt 2.71, 1 Ag 2.81
Ag: 0.6086 0.6086 0.2171  4 Pt 2.71, 1 Ag 2.81
Rb: 0.0000 0.0000 0.0000  8 Ag 3.16

formation energy = 0.3568 eV/atom